# ErThIrPt | Alexandria via LeMat-Bulk | PBE-GGA | relaxed
data_ErThIrPt
_cell_length_a 7.0686
_cell_length_b 7.0686
_cell_length_c 7.0686
_cell_angle_alpha 90.00
_cell_angle_beta 90.00
_cell_angle_gamma 90.00
_symmetry_space_group_name_H-M 'F -4 3 m'
_symmetry_Int_Tables_number 216
_symmetry_space_group_name_Hall 'F -4 2 3'
loop_
_atom_site_label
_atom_site_fract_x
_atom_site_fract_y
_atom_site_fract_z
Er1 0.0000 0.0000 0.0000
Th1 0.0000 0.0000 0.5000
Ir1 0.2500 0.2500 0.7500
Pt1 0.2500 0.2500 0.2500
# Energy relative to the elements (meV/atom): -961.5
# Magnetization (μB per formula unit): 0.00
# Calculated total energy (eV/atom): -7.68
# Energy above the lowest structure with this stoichiometry (meV/atom): 69.2



# Pm2YTm9 | Alexandria via LeMat-Bulk | PBE-GGA | relaxed
data_Pm2YTm9
_cell_length_a 11.1347
_cell_length_b 11.1347
_cell_length_c 3.4819
_cell_angle_alpha 90.00
_cell_angle_beta 90.00
_cell_angle_gamma 120.00
_symmetry_space_group_name_H-M 'P 6/m m m'
_symmetry_Int_Tables_number 191
_symmetry_space_group_name_Hall '-P 6 2'
loop_
_atom_site_label
_atom_site_fract_x
_atom_site_fract_y
_atom_site_fract_z
Pm1 0.3333 0.6667 0.0000
Y1 0.0000 0.0000 0.0000
Tm1 0.0000 0.5000 0.0000
Tm2 0.1752 0.3503 0.5000
# Energy relative to the elements (meV/atom): 68.3
# Magnetization (μB per formula unit): 0.00
# Calculated total energy (eV/atom): -4.62
# Energy above the lowest structure with this stoichiometry (meV/atom): 0.0



# CrFe4H2 | Alexandria via LeMat-Bulk | PBE-GGA | relaxed
data_CrFe4H2
_cell_length_a 4.4690
_cell_length_b 5.1675
_cell_length_c 5.7691
_cell_angle_alpha 102.80
_cell_angle_beta 97.34
_cell_angle_gamma 106.70
_symmetry_space_group_name_H-M 'P 1'
_symmetry_Int_Tables_number 1
loop_
_symmetry_equiv_pos_as_xyz
'x,y,z'
loop_
_atom_site_label
_atom_site_fract_x
_atom_site_fract_y
_atom_site_fract_z
Cr1 0.0000 0.0000 0.0000
Cr2 0.2157 0.8923 0.4309
Fe1 0.0148 0.5060 0.0177
Fe2 0.2120 0.3988 0.4132
Fe3 0.4231 0.3010 0.8179
Fe4 0.4253 0.8083 0.8121
Fe5 0.6233 0.2024 0.2108
Fe6 0.6400 0.7149 0.2245
Fe7 0.8223 0.0983 0.6188
Fe8 0.8237 0.6127 0.6167
H1 0.1204 0.4535 0.7165
H2 0.3305 0.8530 0.1136
H3 0.3336 0.3719 0.1257
H4 0.5315 0.2641 0.5151
# Magnetization (μB per formula unit): 5.57
# Calculated total energy (eV/atom): -7.12



# NaScGe2 | Alexandria via LeMat-Bulk | PBE-GGA | relaxed
data_NaScGe2
_cell_length_a 6.8486
_cell_length_b 6.8486
_cell_length_c 6.8486
_cell_angle_alpha 90.00
_cell_angle_beta 90.00
_cell_angle_gamma 90.00
_symmetry_space_group_name_H-M 'F m -3 m'
_symmetry_Int_Tables_number 225
_symmetry_space_group_name_Hall '-F 4 2 3'
loop_
_atom_site_label
_atom_site_fract_x
_atom_site_fract_y
_atom_site_fract_z
Na1 0.0000 0.0000 0.0000
Sc1 0.0000 0.0000 0.5000
Ge1 0.2500 0.2500 0.2500
# Energy relative to the elements (meV/atom): -205.1
# Magnetization (μB per formula unit): 0.00
# Calculated total energy (eV/atom): -4.43
# Energy above the lowest structure with this stoichiometry (meV/atom): 145.6



What is the calculated total energy in the third record?
-7.12 eV/atom



Which of these has the highest magnetization?
CrFe4H2